(P)
KCrSN2 | Alexandria via LeMat-Bulk | GGA-PBE | optimized geometry; calculated density = 3.459 g/cm3; Fermi-level density of states = 2.407 states/eV per cell; size of the total moment = 1.12 μB per cell
1.0
3.884 0.000 0.000
0.000 3.884 0.000
0.000 0.000 4.811
K Cr S N
1 1 1 2
direct
0.000 0.000 0.000
0.500 0.500 0.500
0.500 0.500 0.000
0.000 0.500 0.500
0.500 0.000 0.500


(Q)
KCrSN2 | Alexandria via LeMat-Bulk | GGA-PBE | optimized geometry; calculated density = 1.927 g/cm3; Fermi-level density of states = 2.992 states/eV per cell; size of the total moment = 1.00 μB per cell
1.0
4.712 0.000 0.000
0.000 4.712 0.000
0.000 0.000 5.865
K Cr S N
1 1 1 2
direct
0.000 0.000 0.000
0.500 0.500 0.500
0.000 0.000 0.500
0.000 0.500 0.000
0.500 0.000 0.000


Energy above the most stable structure, in meV per atom: (P) 0; (Q) 1998